Entry from Alexandria: CaMn2SiCl after structural relaxation (PBE-GGA).

extended XYZ file:
```
5
Lattice="4.4951 0.0000 0.0000 0.0000 4.4951 0.0000 0.0000 0.0000 6.3183" Properties=species:S:1:pos:R:3 pbc="T T T"
Ca 0.0000 0.0000 0.0000
Mn 0.0000 2.2476 3.1592
Mn 2.2476 0.0000 3.1592
Si 2.2476 2.2476 3.1592
Cl 2.2476 2.2476 0.0000
```

Summary:
Magnetization in Bohr magnetons per cell: 6.83
E_tot in eV for the cell shown: -26.8
Crystal system: tetragonal
Formation energy without anion corrections in meV/atom: 163.7